[1]
Material: La2TaPb
Method: DFT, meta-GGA SCAN
State: single point on PBEsol structure

Calculated volume ... 26.977 A^3/atom
Calculated total energy ... -57.106 eV/atom
Magnetic moment ... 0.0000 μB per atom

a b c (Å): 3.280 3.280 10.029
angles (deg): 90.00 90.00 90.01
Fractional coordinates of all 4 atoms:
La1 0.000 0.000 0.229
La2 0.000 0.000 0.771
Pb1 0.500 0.500 0.500
Ta1 0.500 0.500 0.000



[2]
Material: La2TcPb
Method: DFT, meta-GGA SCAN
State: single point on PBEsol structure

Calculated volume ... 26.152 A^3/atom
Calculated total energy ... -49.486 eV/atom
Magnetic moment ... 0.0000 μB per atom

a b c (Å): 3.424 3.420 8.938
angles (deg): 90.00 91.84 90.00
Fractional coordinates of all 4 atoms:
La1 0.969 0.000 0.699
La2 0.031 0.000 0.301
Pb1 0.500 0.500 0.000
Tc1 0.500 0.500 0.500



[3]
Material: La2TcPb
Method: DFT, meta-GGA SCAN
State: single point on PBEsol structure

Calculated volume ... 26.277 A^3/atom
Calculated total energy ... -49.484 eV/atom
Magnetic moment ... 0.0000 μB per atom

a b c (Å): 3.443 3.443 8.956
angles (deg): 90.00 90.00 98.20
Fractional coordinates of all 4 atoms:
La1 0.000 0.000 0.198
La2 0.000 0.000 0.802
Pb1 0.500 0.500 0.500
Tc1 0.500 0.500 0.000



Repeat the third record exactly.
Material: La2TcPb
Method: DFT, meta-GGA SCAN
State: single point on PBEsol structure

Calculated volume ... 26.277 A^3/atom
Calculated total energy ... -49.484 eV/atom
Magnetic moment ... 0.0000 μB per atom

a b c (Å): 3.443 3.443 8.956
angles (deg): 90.00 90.00 98.20
Fractional coordinates of all 4 atoms:
La1 0.000 0.000 0.198
La2 0.000 0.000 0.802
Pb1 0.500 0.500 0.500
Tc1 0.500 0.500 0.000



What is the calculated total energy in the second record? -49.486 eV/atom



What did the third record say?
Material: La2TcPb
Method: DFT, meta-GGA SCAN
State: single point on PBEsol structure

Calculated volume ... 26.277 A^3/atom
Calculated total energy ... -49.484 eV/atom
Magnetic moment ... 0.0000 μB per atom

a b c (Å): 3.443 3.443 8.956
angles (deg): 90.00 90.00 98.20
Fractional coordinates of all 4 atoms:
La1 0.000 0.000 0.198
La2 0.000 0.000 0.802
Pb1 0.500 0.500 0.500
Tc1 0.500 0.500 0.000